Record 1
## KBAsBr2 (PBE)

Data for KBAsBr2 after structural relaxation.

a = 6.105 Å, b = 6.105 Å, c = 6.198 Å
α = 90.00°, β = 90.00°, γ = 90.00°
Fractional coordinates of all 5 atoms:
Br 0.000 0.500 0.000
Br 0.500 0.000 0.000
As 0.000 0.000 0.500
K 0.000 0.000 0.000
B 0.500 0.500 0.500

Properties
energy relative to the lowest polymorph listed for this composition	1157	meV per atom

=====

Record 2
## BeZn2I (PBE)

Data for BeZn2I after structural relaxation.

a = 6.367 Å, b = 6.367 Å, c = 6.839 Å
α = 62.26°, β = 62.26°, γ = 90.00°
Fractional coordinates of all 8 atoms:
I 0.750 0.250 0.500
I 0.000 0.000 0.000
Zn 0.375 0.457 0.750
Zn 0.207 0.625 0.250
Zn 0.875 0.793 0.750
Zn 0.543 0.125 0.250
Be 0.250 0.750 0.500
Be 0.500 0.500 0.000

Properties
energy relative to the lowest polymorph listed for this composition	367	meV per atom

=====

Record 3
## CsPmPb2Cl8 (PBE)

Data for CsPmPb2Cl8 after structural relaxation.

a = 6.972 Å, b = 6.696 Å, c = 9.330 Å
α = 86.80°, β = 86.50°, γ = 88.34°
Fractional coordinates of all 12 atoms:
Cl 0.607 0.727 0.470
Cl 0.839 0.242 0.793
Cl 0.161 0.758 0.207
Cl 0.839 0.240 0.204
Cl 0.316 0.245 0.983
Cl 0.161 0.760 0.796
Cl 0.393 0.273 0.530
Cl 0.684 0.755 0.017
Pb 0.504 0.506 0.252
Pb 0.496 0.494 0.748
Cs 0.000 0.000 0.500
Pm 0.000 0.000 0.000

=====

Number 1: E_form (uncorrected) 1.190 eV/atom, size of the total moment 0.60 μB/atom. Number 2: E_form (uncorrected) 0.415 eV/atom, size of the total moment 0.00 μB/atom. Number 3: E_form (uncorrected) -1.652 eV/atom, size of the total moment 0.00 μB/atom.